The following is a PBE calculation of an optimized crystal structure of Cs2ScPt, from Alexandria.

Computed properties:
The density of states at the Fermi level is 1.177 states/eV per atom. As for the energy above the most stable polymorph in this dataset: 0 meV/atom. The calculation puts the formation energy at 0.16 eV per atom.

a = 9.9177 Å, b = 9.9177 Å, c = 9.9177 Å
α = 93.63°, β = 93.63°, γ = 150.84°
Sites, in units of the cell vectors:
Cs 0.0426 0.3750 0.1676
Cs 0.2074 0.8750 0.8324
Cs 0.1250 0.9574 0.3324
Cs 0.6250 0.7926 0.6676
Sc 0.5000 0.5000 0.0000
Sc 0.7500 0.2500 0.5000
Pt 0.0000 0.0000 0.0000
Pt 0.2500 0.7500 0.5000